one | First-principles (PBE-GGA) data for crystalline Y2TaOs at its relaxed geometry, as listed in Alexandria via LeMat-Bulk.

a b c (Å): 7.0464 7.0464 7.0464
angles (deg): 90.00 90.00 90.00
Space group Fm-3m (No. 225)
Symmetry-distinct sites (fractional):
Y: 0.2500 0.2500 0.2500 (multiplicity 8)
Ta: 0.0000 0.0000 0.0000 (multiplicity 4)
Os: 0.0000 0.0000 0.5000 (multiplicity 4)


two | First-principles (PBE-GGA) data for crystalline Y2TaOs at its relaxed geometry, as listed in Alexandria via LeMat-Bulk.

a b c (Å): 4.8923 4.8923 6.8978
angles (deg): 90.00 90.00 90.00
Space group I-4m2 (No. 119)
Symmetry-distinct sites (fractional):
Y: 0.0000 0.0000 0.0000 (multiplicity 2)
Y: 0.0000 0.5000 0.2500 (multiplicity 2)
Ta: 0.0000 0.5000 0.7500 (multiplicity 2)
Os: 0.0000 0.0000 0.5000 (multiplicity 2)


It is one that is the least stable of them.